No. 1
The following is a DFT calculation (GGA-PBE) of a relaxed structure of LiCa2Mg12Hg3.

- Total energy: -1.37 eV per atom
- Space-group type: No. 166
- E_form: 1.26 eV/f.u.

Cell lengths 11.0172, 11.0172, 11.0172 Å; angles 39.86, 39.86, 39.86 degrees
Closest atoms and distances in Å follow each position.
Atoms (fractional coordinates):
1 Li 0.0000 0.0000 0.0000  6 Mg 2.78
2 Ca 0.3547 0.3547 0.3547  6 Mg 3.46-3.60
3 Ca 0.6453 0.6453 0.6453  6 Mg 3.46-3.60
4 Mg 0.0806 0.0806 0.6396  1 Li 2.78, 2 Mg 3.02, 1 Hg 3.06
5 Mg 0.0806 0.6396 0.0806  1 Li 2.78, 2 Mg 3.02, 1 Hg 3.06
6 Mg 0.1913 0.5848 0.5848  2 Hg 2.81, 4 Mg 2.96-3.02
7 Mg 0.3604 0.9194 0.9194  1 Li 2.78, 2 Mg 3.02, 1 Hg 3.06
8 Mg 0.4152 0.4152 0.8087  2 Hg 2.81, 4 Mg 2.96-3.02
9 Mg 0.4152 0.8087 0.4152  2 Hg 2.81, 4 Mg 2.96-3.02
10 Mg 0.5848 0.1913 0.5848  2 Hg 2.81, 4 Mg 2.96-3.02
11 Mg 0.5848 0.5848 0.1913  2 Hg 2.81, 4 Mg 2.96-3.02
12 Mg 0.6396 0.0806 0.0806  1 Li 2.78, 2 Mg 3.02, 1 Hg 3.06
13 Mg 0.8087 0.4152 0.4152  2 Hg 2.81, 4 Mg 2.96-3.02
14 Mg 0.9194 0.3604 0.9194  1 Li 2.78, 2 Mg 3.02, 1 Hg 3.06
15 Mg 0.9194 0.9194 0.3604  1 Li 2.78, 2 Mg 3.02, 1 Hg 3.06
16 Hg 0.0000 0.0000 0.5000  6 Mg 2.81-3.06
17 Hg 0.0000 0.5000 0.0000  6 Mg 2.81-3.06
18 Hg 0.5000 0.0000 0.0000  6 Mg 2.81-3.06

No. 2
The following is a DFT calculation (GGA-PBE) of a relaxed structure of NaNb2OsO8.

- Total energy: -7.97 eV per atom
- Space-group type: No. 65
- E_form (uncorrected): -1.9438 eV per atom

Cell lengths 4.7865, 4.7865, 6.3743 Å; angles 90.00, 90.00, 91.54 degrees
Closest atoms and distances in Å follow each position.
Atoms (fractional coordinates):
1 Na 0.0000 0.0000 0.0000  6 O 2.18-2.33
2 Nb 0.5000 0.5000 0.2414  6 O 1.96-2.18
3 Nb 0.5000 0.5000 0.7586  6 O 1.96-2.18
4 Os 0.0000 0.0000 0.5000  6 O 1.93-2.00
5 O 0.2103 0.2103 0.2915  1 Os 1.93, 1 Nb 1.96
6 O 0.2103 0.2103 0.7085  1 Os 1.93, 1 Nb 1.96
7 O 0.2912 0.7088 0.5000  1 Os 2.00, 2 Nb 2.18
8 O 0.3181 0.6819 0.0000  2 Nb 1.98, 1 Na 2.18
9 O 0.6819 0.3181 0.0000  2 Nb 1.98, 1 Na 2.18
10 O 0.7088 0.2912 0.5000  1 Os 2.00, 2 Nb 2.18
11 O 0.7897 0.7897 0.2915  1 Os 1.93, 1 Nb 1.96
12 O 0.7897 0.7897 0.7085  1 Os 1.93, 1 Nb 1.96

The highest total energy belongs to which entry?
LiCa2Mg12Hg3

What is the total energy in the first record?
-1.37 eV per atom